(1)
# Ac2Mg4ZnGa3

Crystalline Ac2Mg4ZnGa3 at its relaxed geometry (GGA-PBE, Alexandria via LeMat-Bulk).

The density is 5.602 g/cm³. The calculation puts the total energy at -28.3 eV per formula unit. The calculation puts the formation energy from the elements at -0.33 eV/atom.

The space group is P-4m2 (No. 115) and the conventional cell measures 4.641, 4.641 and 11.363 Å, with angles of 90.00, 90.00 and 90.00 degrees. The asymmetric unit holds Ac at (0.000, 0.500, 0.245), Mg at (0.000, 0.000, 0.500), Mg at (0.000, 0.500, 0.876), Mg at (0.500, 0.500, 0.500), Zn at (0.500, 0.500, 0.000), Ga at (0.000, 0.000, 0.000) and Ga at (0.000, 0.500, 0.640).

=====

(2)
# DyY2Cd4

Crystalline DyY2Cd4 at its relaxed geometry (GGA-PBE, Alexandria via LeMat-Bulk).

The density is 6.700 g/cm³. The calculation puts the total energy at -22.4 eV per formula unit. The calculation puts the formation energy from the elements at -0.17 eV/atom.

The space group is I4/mmm (No. 139) and the conventional cell measures 5.347, 5.347 and 13.697 Å, with angles of 90.00, 90.00 and 90.00 degrees. The asymmetric unit holds Dy at (0.000, 0.000, 0.000), Y at (0.000, 0.000, 0.261) and Cd at (0.000, 0.500, 0.114).

=====

(3)
# Nd3SbRh

Crystalline Nd3SbRh at its relaxed geometry (GGA-PBE, Alexandria via LeMat-Bulk).

The density is 7.378 g/cm³. The calculation puts the total energy at -29.5 eV per formula unit. The calculation puts the uncorrected formation energy at -740 meV per atom.

The space group is P2_1/m (No. 11) and the conventional cell measures 8.234, 4.362 and 8.676 Å, with angles of 90.00, 108.26 and 90.00 degrees. The asymmetric unit holds Nd at (0.071, 0.250, 0.260), Nd at (0.318, 0.250, 0.934), Nd at (0.327, 0.750, 0.592), Sb at (0.368, 0.750, 0.227) and Rh at (0.082, 0.250, 0.609).

=====

(4)
# Cr2CoHRh

Crystalline Cr2CoHRh at its relaxed geometry (GGA-PBE, Alexandria via LeMat-Bulk).

The density is 7.225 g/cm³. The calculation puts the total energy at -33.7 eV per formula unit. Its excess energy over the best structure of this formula in the dataset is 678.8 meV/atom.

The space group is P4/mmm (No. 123) and the conventional cell measures 4.578, 4.578 and 2.926 Å, with angles of 90.00, 90.00 and 90.00 degrees. The asymmetric unit holds Cr at (0.000, 0.500, 0.000), Co at (0.000, 0.000, 0.000), H at (0.000, 0.000, 0.500) and Rh at (0.500, 0.500, 0.500).

=====

(5)
# HoSi7Ru3

Crystalline HoSi7Ru3 at its relaxed geometry (GGA-PBE, Alexandria via LeMat-Bulk).

The density is 6.600 g/cm³. The calculation puts the total energy at -76.4 eV per formula unit. The calculation puts the uncorrected formation energy at -545 meV per atom.

The space group is R-3c (No. 167, hexagonal axes) and the conventional cell measures 7.6233, 7.6233 and 19.9375 Å, with angles of 90.00, 90.00 and 120.00 degrees. The asymmetric unit holds Ho at (0.0000, 0.0000, 0.0000), Si at (0.0000, 0.0000, 0.2500), Si at (0.0083, 0.2010, 0.1382) and Ru at (0.0000, 0.3280, 0.2500).

=====

(6)
# AgTeIrI2

Crystalline AgTeIrI2 at its relaxed geometry (GGA-PBE, Alexandria via LeMat-Bulk).

The density is 6.784 g/cm³. The calculation puts the total energy at -11.0 eV per formula unit. The calculation puts the uncorrected formation energy at 1391 meV per atom. Its excess energy over the best structure of this formula in the dataset is 894.1 meV/atom.

The space group is P4/mmm (No. 123) and the conventional cell measures 5.476, 5.476 and 5.562 Å, with angles of 90.00, 90.00 and 90.00 degrees. The asymmetric unit holds Ag at (0.000, 0.000, 0.000), Te at (0.000, 0.000, 0.500), Ir at (0.500, 0.500, 0.500) and I at (0.000, 0.500, 0.000).

=====

(7)
# RbAgIrCl6

Crystalline RbAgIrCl6 at its relaxed geometry (GGA-PBE, Alexandria via LeMat-Bulk).

The density is 3.527 g/cm³. The calculation puts the total energy at -30.9 eV per formula unit. The calculation puts the uncorrected formation energy at -798 meV per atom.

The space group is P312 (No. 149) and the conventional cell measures 6.7761, 6.7761 and 7.0828 Å, with angles of 90.00, 90.00 and 120.00 degrees. The asymmetric unit holds Rb at (0.0000, 0.0000, 0.0000), Ag at (0.6667, 0.3333, 0.5000), Ir at (0.3333, 0.6667, 0.5000) and Cl at (0.0434, 0.3889, 0.3106).

=====

(8)
# Tm8MgBi6

Crystalline Tm8MgBi6 at its relaxed geometry (GGA-PBE, Alexandria via LeMat-Bulk).

The density is 9.497 g/cm³. The calculation puts the total energy at -67.6 eV per formula unit. The calculation puts the formation energy from the elements at -0.47 eV/atom.

The space group is R-3 (No. 148, hexagonal axes) and the conventional cell measures 9.1289, 9.1289 and 19.1130 Å, with angles of 90.00, 90.00 and 120.00 degrees. The asymmetric unit holds Tm at (0.0000, 0.0000, 0.1681), Tm at (0.0015, 0.7268, 0.5919), Mg at (0.0000, 0.0000, 0.5000) and Bi at (0.0007, 0.6214, 0.4216).

=====

(9)
# PmPr12Tl7

Crystalline PmPr12Tl7 at its relaxed geometry (GGA-PBE, Alexandria via LeMat-Bulk).

The density is 7.742 g/cm³. The calculation puts the total energy at -79.7 eV per formula unit. The calculation puts the formation energy from the elements at -0.05 eV/atom.

The space group is R-3 (No. 148, hexagonal axes) and the conventional cell measures 14.0459, 14.0459 and 12.3017 Å, with angles of 90.00, 90.00 and 120.00 degrees. The asymmetric unit holds Pm at (0.0000, 0.0000, 0.0000), Pr at (0.0186, 0.5789, 0.2606), Pr at (0.0643, 0.8749, 0.3154), Tl at (0.0000, 0.0000, 0.5000) and Tl at (0.0966, 0.8811, 0.8605).

=====

(10)
# AcSm3Y7

Crystalline AcSm3Y7 at its relaxed geometry (GGA-PBE, Alexandria via LeMat-Bulk).

The density is 5.585 g/cm³. The calculation puts the total energy at -61.0 eV per formula unit. The calculation puts the formation energy from the elements at 0.23 eV/atom. Its excess energy over the best structure of this formula in the dataset is 20.4 meV/atom.

The space group is C2/m (No. 12) and the conventional cell measures 11.737, 10.028 and 6.593 Å, with angles of 90.00, 94.88 and 90.00 degrees. The asymmetric unit holds Ac at (0.000, 0.000, 0.000), Sm at (0.000, 0.326, 0.500), Sm at (0.000, 0.500, 0.000), Y at (0.000, 0.000, 0.500), Y at (0.234, 0.500, 0.699) and Y at (0.248, 0.173, 0.760).

=====

(11)
# Th3Pa4C8

Crystalline Th3Pa4C8 at its relaxed geometry (GGA-PBE, Alexandria via LeMat-Bulk).

The density is 10.327 g/cm³. The calculation puts the total energy at -134.1 eV per formula unit. The calculation puts the formation energy from the elements at 0.00 eV/atom.

The space group is C2/m (No. 12) and the conventional cell measures 10.321, 10.330 and 7.270 Å, with angles of 90.00, 134.60 and 90.00 degrees. The asymmetric unit holds Th at (0.000, 0.000, 0.000), Th at (0.250, 0.250, 0.500), Pa at (0.000, 0.500, 0.000), Pa at (0.000, 0.500, 0.500), Pa at (0.250, 0.250, 0.000), C at (0.000, 0.257, 0.000), C at (0.000, 0.271, 0.500), C at (0.215, 0.500, 0.480) and C at (0.223, 0.500, 0.963).